Crystalline AgSnPdAu at its relaxed geometry. Source: Alexandria, functional GGA-PBE.

VASP energy	-4.02	eV per atom
ΔH_f (0 K)	-0.77	eV/f.u.
crystal system	cubic

a b c (Å): 4.696 4.696 4.696
angles (deg): 60.00 60.00 60.00
Element x y z (fractional)
Ag (0.000, 0.000, 0.000)
Sn (0.500, 0.500, 0.500)
Pd (0.250, 0.250, 0.250)
Au (0.750, 0.750, 0.750)

---

Crystalline Sr2AgPd5Au2 at its relaxed geometry. Source: Alexandria, functional GGA-PBE.

VASP energy	-4.26	eV per atom
ΔH_f (0 K)	-3.91	eV/f.u.
crystal system	tetragonal

a b c (Å): 9.963 9.963 4.125
angles (deg): 90.00 90.00 90.00
Element x y z (fractional)
Sr (0.175, 0.325, 0.000)
Sr (0.325, 0.825, 0.000)
Sr (0.675, 0.175, 0.000)
Sr (0.825, 0.675, 0.000)
Ag (0.000, 0.000, 0.000)
Ag (0.500, 0.500, 0.000)
Pd (0.000, 0.500, 0.500)
Pd (0.058, 0.802, 0.500)
Pd (0.198, 0.058, 0.500)
Pd (0.302, 0.558, 0.500)
Pd (0.442, 0.302, 0.500)
Pd (0.500, 0.000, 0.500)
Pd (0.558, 0.698, 0.500)
Pd (0.698, 0.442, 0.500)
Pd (0.802, 0.942, 0.500)
Pd (0.942, 0.198, 0.500)
Au (0.124, 0.624, 0.000)
Au (0.376, 0.124, 0.000)
Au (0.624, 0.876, 0.000)
Au (0.876, 0.376, 0.000)

---

Crystalline Sr2Ag2PdAu5 at its relaxed geometry. Source: Alexandria, functional GGA-PBE.

VASP energy	-3.43	eV per atom
ΔH_f (0 K)	-3.63	eV/f.u.
crystal system	tetragonal

a b c (Å): 10.385 10.385 4.030
angles (deg): 90.00 90.00 90.00
Element x y z (fractional)
Sr (0.176, 0.324, 0.000)
Sr (0.324, 0.824, 0.000)
Sr (0.676, 0.176, 0.000)
Sr (0.824, 0.676, 0.000)
Ag (0.126, 0.626, 0.000)
Ag (0.374, 0.126, 0.000)
Ag (0.626, 0.874, 0.000)
Ag (0.874, 0.374, 0.000)
Pd (0.000, 0.000, 0.000)
Pd (0.500, 0.500, 0.000)
Au (0.000, 0.500, 0.500)
Au (0.054, 0.808, 0.500)
Au (0.192, 0.054, 0.500)
Au (0.308, 0.554, 0.500)
Au (0.446, 0.308, 0.500)
Au (0.500, 0.000, 0.500)
Au (0.554, 0.692, 0.500)
Au (0.692, 0.446, 0.500)
Au (0.808, 0.946, 0.500)
Au (0.946, 0.192, 0.500)